Cu2TePb2 | Alexandria via LeMat-Bulk | PBE-GGA | optimized geometry; crystal system = tetragonal; total magnetic moment = 0.00 Bohr magnetons per cell; formation energy from raw total energies = 0.109 eV per atom; offset from the most stable computed form = 0.00 kJ/mol of atoms; symmetry = P4/mbm (127); final energy = -36.4 eV for the cell shown
1.0
7.3057 0.0000 0.0000
0.0000 7.3057 0.0000
0.0000 0.0000 4.3719
Cu Te Pb
4 2 4
Direct
0.1206 0.3794 0.0000
0.3794 0.8794 0.0000
0.6206 0.1206 0.0000
0.8794 0.6206 0.0000
0.0000 0.0000 0.0000
0.5000 0.5000 0.0000
0.1659 0.6659 0.5000
0.3341 0.1659 0.5000
0.6659 0.8341 0.5000
0.8341 0.3341 0.5000

---

Sm3TmGe3 | Alexandria via LeMat-Bulk | PBE-GGA | optimized geometry; crystal system = hexagonal; total magnetic moment = 0.00 Bohr magnetons per cell; symmetry = P6_3/m (176); final energy = -73.0 eV for the cell shown; formation enthalpy at 0 K = -571 meV per atom
1.0
9.0180 0.0000 0.0000
-4.5090 7.8098 0.0000
0.0000 0.0000 5.9076
Sm Tm Ge
6 2 6
Direct
0.0357 0.3383 0.2500
0.3026 0.9643 0.2500
0.3383 0.3026 0.7500
0.6617 0.6974 0.2500
0.6974 0.0357 0.7500
0.9643 0.6617 0.7500
0.3333 0.6667 0.7500
0.6667 0.3333 0.2500
0.0192 0.3521 0.7500
0.3329 0.9808 0.7500
0.3521 0.3329 0.2500
0.6479 0.6671 0.7500
0.6671 0.0192 0.2500
0.9808 0.6479 0.2500